GGA-PBE LuSc2Cu, optimized geometry; energy of formation from the pure elements = 11.6 kJ per mole of atoms; SG = F-43m, No. 216; magnetization = 0.0 μB/cell
1.0
0.000 3.511 3.511
3.511 0.000 3.511
3.511 3.511 0.000
Cu Lu Sc
1 1 2
Direct
0.250 0.250 0.250
0.500 0.500 0.500
0.000 0.000 0.000
0.750 0.750 0.750